DFT (PBE) results for a relaxed PuUFePt crystal.

a = 4.6386 Å, b = 4.6386 Å, c = 4.6386 Å
α = 60.00°, β = 60.00°, γ = 60.00°
Site moments in Bohr magnetons follow the coordinates.
Atoms (fractional coordinates):
U (0.0000, 0.0000, 0.0000)  1.46
Fe (0.5000, 0.5000, 0.5000)  -2.25
Pt (0.7500, 0.7500, 0.7500)  -0.07
Pu (0.2500, 0.2500, 0.2500)  4.91

**Space-group type**: No. 216
**M_tot**: 1.019 μB/atom
**ΔH_f (0 K)**: -1.69 eV/f.u.
**Excess energy over the best structure of this formula in the dataset**: 0.0 meV/atom

DFT (PBE) results for a relaxed TlHPbBr2 crystal.

a = 6.0070 Å, b = 6.0070 Å, c = 4.3297 Å
α = 90.00°, β = 90.00°, γ = 90.00°
Atoms (fractional coordinates):
Pb (0.0000, 0.0000, 0.0000)
H (0.0000, 0.0000, 0.5000)
Tl (0.5000, 0.5000, 0.5000)
Br (0.5000, 0.0000, 0.0000)
Br (0.0000, 0.5000, 0.0000)

**Space-group type**: No. 123
**M_tot**: 0.000 μB/atom
**Total energy**: -2.969 eV per atom

DFT (PBE) results for a relaxed ScCdRe2 crystal.

a = 2.8610 Å, b = 4.4768 Å, c = 5.7558 Å
α = 90.00°, β = 90.00°, γ = 90.00°
Atoms (fractional coordinates):
Cd (0.5000, 0.5000, 0.7500)
Re (0.0000, 0.0000, 0.0465)
Re (0.0000, 0.0000, 0.4535)
Sc (0.5000, 0.5000, 0.2500)

**Space-group type**: No. 47
**M_tot**: 0.000 μB/atom
**ΔH_f (0 K)**: 1.48 eV/f.u.

DFT (PBE) results for a relaxed Dy2HfMnS6 crystal.

a = 6.6625 Å, b = 6.6629 Å, c = 7.0727 Å
α = 61.90°, β = 61.90°, γ = 59.99°
Site moments in Bohr magnetons follow the coordinates.
Atoms (fractional coordinates):
Mn (0.3157, 0.3156, 0.0530)  4.25
S (0.4525, 0.7001, 0.7585)  0.02
S (0.7000, 0.0889, 0.7586)  0.02
S (0.9410, 0.5998, 0.2568)  0.03
S (0.2024, 0.9409, 0.2568)  0.03
S (0.5998, 0.2025, 0.2568)  0.03
S (0.0890, 0.4524, 0.7586)  0.02
Hf (0.8220, 0.8220, 0.5340)  0.10
Dy (0.5178, 0.5177, 0.4468)  0.04
Dy (0.0215, 0.0216, 0.9353)  0.02

**Space-group type**: No. 146
**M_tot**: 0.500 μB/atom
**ΔE_f (raw)**: -1.58 eV/atom